Record 1
This record from Alexandria describes ZnHg4Rh after structural relaxation. The functional is PBE.

Cell: 5.696 5.696 5.696 Å, 60.00 60.00 60.00°
Positions (direct):
1 Zn 0.000 0.000 0.000
2 Hg 0.126 0.625 0.625
3 Hg 0.625 0.126 0.625
4 Hg 0.625 0.625 0.126
5 Hg 0.625 0.625 0.625
6 Rh 0.250 0.250 0.250

Total magnetization, μB/f.u.: 0.0
VASP energy, eV per cell: -6.559
ρ, g/cm3: 12.3
Energy of formation, eV/atom: 0.55
DOS(E_F), states/eV/atom: 0.5558

---

Record 2
This record from Alexandria describes ZnHgRh after structural relaxation. The functional is PBE.

Cell: 2.991 2.991 6.607 Å, 90.00 90.00 120.00°
Positions (direct):
1 Zn 0.000 0.000 0.000
2 Hg 0.667 0.333 0.362
3 Rh 0.333 0.667 0.712

Total magnetization, μB/f.u.: 0.0
VASP energy, eV per cell: -8.748
ρ, g/cm3: 12.0
Energy of formation, eV/atom: 0.06
DOS(E_F), states/eV/atom: 0.7321

---

Record 3
This record from Alexandria describes Zr2HgRh after structural relaxation. The functional is PBE.

Cell: 6.159 6.159 6.159 Å, 102.63 102.63 124.24°
Positions (direct):
1 Zr 0.082 0.125 0.457
2 Zr 0.375 0.918 0.043
3 Zr 0.668 0.625 0.543
4 Zr 0.875 0.332 0.957
5 Hg 0.250 0.750 0.500
6 Hg 0.500 0.500 0.000
7 Rh 0.000 0.000 0.000
8 Rh 0.750 0.250 0.500

Total magnetization, μB/f.u.: 0.0
VASP energy, eV per cell: -50.361
ρ, g/cm3: 9.5
Energy of formation, eV/atom: -0.11
DOS(E_F), states/eV/atom: 1.5486

---

Record 4
This record from Alexandria describes Zr2HgRh after structural relaxation. The functional is PBE.

Cell: 5.781 5.781 5.781 Å, 145.47 131.99 60.47°
Positions (direct):
1 Zr 0.000 0.000 0.000
2 Zr 0.726 0.226 0.500
3 Hg 0.278 0.778 0.500
4 Rh 0.514 0.514 0.000

Total magnetization, μB/f.u.: 0.0
VASP energy, eV per cell: -25.974
ρ, g/cm3: 10.0
Energy of formation, eV/atom: -0.31
DOS(E_F), states/eV/atom: 0.9481

---

Record 5
This record from Alexandria describes Zr2HgRh after structural relaxation. The functional is PBE.

Cell: 4.545 4.545 3.826 Å, 90.00 90.00 90.00°
Positions (direct):
1 Zr 0.000 0.500 0.000
2 Zr 0.500 0.000 0.000
3 Hg 0.000 0.000 0.500
4 Rh 0.500 0.500 0.500

Total magnetization, μB/f.u.: 0.0
VASP energy, eV per cell: -26.138
ρ, g/cm3: 10.2
Energy of formation, eV/atom: -0.35
DOS(E_F), states/eV/atom: 1.0714

---

Record 6
This record from Alexandria describes ZrHgRh2 after structural relaxation. The functional is PBE.

Cell: 4.640 4.640 4.640 Å, 60.00 60.00 60.00°
Positions (direct):
1 Zr 0.000 0.000 0.000
2 Hg 0.250 0.250 0.250
3 Rh 0.500 0.500 0.500
4 Rh 0.750 0.750 0.750

Total magnetization, μB/f.u.: 0.0
VASP energy, eV per cell: -24.126
ρ, g/cm3: 11.7
Energy of formation, eV/atom: -0.14
DOS(E_F), states/eV/atom: 0.9233

---

Record 7
This record from Alexandria describes ZrHgRh2 after structural relaxation. The functional is PBE.

Cell: 4.324 4.324 3.657 Å, 90.00 90.00 90.00°
Positions (direct):
1 Zr 0.000 0.000 0.000
2 Hg 0.500 0.500 0.000
3 Rh 0.000 0.500 0.500
4 Rh 0.500 0.000 0.500

Total magnetization, μB/f.u.: 0.0
VASP energy, eV per cell: -25.726
ρ, g/cm3: 12.1
Energy of formation, eV/atom: -0.54
DOS(E_F), states/eV/atom: 0.1265

---

Record 8
This record from Alexandria describes ZrHgRh2 after structural relaxation. The functional is PBE.

Cell: 3.050 3.050 7.687 Å, 90.00 90.00 90.00°
Positions (direct):
1 Zr 0.000 0.000 0.000
2 Hg 0.500 0.500 0.301
3 Rh 0.000 0.000 0.546
4 Rh 0.500 0.500 0.780

Total magnetization, μB/f.u.: 0.0
VASP energy, eV per cell: -23.929
ρ, g/cm3: 11.6
Energy of formation, eV/atom: -0.09
DOS(E_F), states/eV/atom: 1.3570

---

Record 9
This record from Alexandria describes Zr2HgRh after structural relaxation. The functional is PBE.

Cell: 3.397 3.397 6.935 Å, 90.00 90.00 90.00°
Positions (direct):
1 Zr 0.000 0.000 0.000
2 Zr 0.500 0.500 0.289
3 Hg 0.000 0.000 0.554
4 Rh 0.500 0.500 0.805

Total magnetization, μB/f.u.: 0.0
VASP energy, eV per cell: -26.240
ρ, g/cm3: 10.1
Energy of formation, eV/atom: -0.37
DOS(E_F), states/eV/atom: 0.5881

---

Record 10
This record from Alexandria describes Zr5HgRh4 after structural relaxation. The functional is PBE.

Cell: 3.245 3.245 17.840 Å, 90.00 90.00 90.00°
Positions (direct):
1 Zr 0.000 0.000 0.000
2 Zr 0.000 0.000 0.191
3 Zr 0.000 0.000 0.380
4 Zr 0.000 0.000 0.620
5 Zr 0.000 0.000 0.809
6 Hg 0.500 0.500 0.500
7 Rh 0.500 0.500 0.095
8 Rh 0.500 0.500 0.283
9 Rh 0.500 0.500 0.717
10 Rh 0.500 0.500 0.905

Total magnetization, μB/f.u.: 0.0
VASP energy, eV per cell: -78.790
ρ, g/cm3: 9.4
Energy of formation, eV/atom: -0.63
DOS(E_F), states/eV/atom: 0.9022

---

Record 11
This record from Alexandria describes ZrHgRh2 after structural relaxation. The functional is PBE.

Cell: 8.657 8.657 8.657 Å, 21.24 21.24 21.24°
Positions (direct):
1 Zr 0.000 0.000 0.000
2 Hg 0.500 0.500 0.500
3 Rh 0.256 0.256 0.256
4 Rh 0.744 0.744 0.744

Total magnetization, μB/f.u.: 0.0
VASP energy, eV per cell: -24.515
ρ, g/cm3: 11.1
Energy of formation, eV/atom: -0.24
DOS(E_F), states/eV/atom: 0.7759

---

Record 12
This record from Alexandria describes Zr2HgRh after structural relaxation. The functional is PBE.

Cell: 5.121 5.121 4.803 Å, 117.87 117.87 47.27°
Positions (direct):
1 Zr 0.228 0.228 0.228
2 Zr 0.772 0.772 0.772
3 Hg 0.000 0.000 0.500
4 Rh 0.500 0.500 0.000

Total magnetization, μB/f.u.: 0.0
VASP energy, eV per cell: -26.071
ρ, g/cm3: 10.1
Energy of formation, eV/atom: -0.33
DOS(E_F), states/eV/atom: 1.1488

---

Record 13
This record from Alexandria describes Zr3HgRh after structural relaxation. The functional is PBE.

Cell: 5.023 5.023 5.023 Å, 90.00 90.00 90.00°
Positions (direct):
1 Zr 0.000 0.000 0.500
2 Zr 0.000 0.500 0.000
3 Zr 0.500 0.000 0.000
4 Hg 0.500 0.500 0.500
5 Rh 0.000 0.000 0.000

Total magnetization, μB/f.u.: 0.0
VASP energy, eV per cell: -32.378
ρ, g/cm3: 7.6
Energy of formation, eV/atom: 0.18
DOS(E_F), states/eV/atom: 1.5402

---

Record 14
This record from Alexandria describes Zr12Hg3Rh after structural relaxation. The functional is PBE.

Cell: 4.511 4.511 16.970 Å, 90.00 90.00 90.00°
Positions (direct):
1 Zr 0.000 0.000 0.000
2 Zr 0.000 0.000 0.240
3 Zr 0.000 0.000 0.500
4 Zr 0.000 0.000 0.760
5 Zr 0.000 0.500 0.112
6 Zr 0.000 0.500 0.372
7 Zr 0.000 0.500 0.628
8 Zr 0.000 0.500 0.888
9 Zr 0.500 0.000 0.112
10 Zr 0.500 0.000 0.372
11 Zr 0.500 0.000 0.628
12 Zr 0.500 0.000 0.888
13 Hg 0.500 0.500 0.244
14 Hg 0.500 0.500 0.500
15 Hg 0.500 0.500 0.756
16 Rh 0.500 0.500 0.000

Total magnetization, μB/f.u.: 0.0
VASP energy, eV per cell: -113.176
ρ, g/cm3: 8.7
Energy of formation, eV/atom: -0.15
DOS(E_F), states/eV/atom: 1.1824

---

Record 15
This record from Alexandria describes ZrHgRh2 after structural relaxation. The functional is PBE.

Cell: 9.516 9.516 9.516 Å, 17.99 17.99 17.99°
Positions (direct):
1 Zr 0.000 0.000 0.000
2 Hg 0.240 0.240 0.240
3 Rh 0.490 0.490 0.490
4 Rh 0.747 0.747 0.747

Total magnetization, μB/f.u.: 1.5
VASP energy, eV per cell: -23.191
ρ, g/cm3: 11.5
Energy of formation, eV/atom: 0.09
DOS(E_F), states/eV/atom: 1.2149

---

Record 16
This record from Alexandria describes Zr2HgRh after structural relaxation. The functional is PBE.

Cell: 5.050 5.050 3.224 Å, 90.00 90.00 108.07°
Positions (direct):
1 Zr 0.000 0.500 0.000
2 Zr 0.500 0.000 0.000
3 Hg 0.000 0.000 0.500
4 Rh 0.500 0.500 0.500

Total magnetization, μB/f.u.: 0.0
VASP energy, eV per cell: -26.059
ρ, g/cm3: 10.3
Energy of formation, eV/atom: -0.33
DOS(E_F), states/eV/atom: 1.1233

---

Record 17
This record from Alexandria describes Zr2HgRh after structural relaxation. The functional is PBE.

Cell: 3.360 4.487 5.667 Å, 90.00 107.12 90.00°
Positions (direct):
1 Zr 0.000 0.000 0.000
2 Zr 0.308 0.500 0.621
3 Hg 0.584 0.500 0.169
4 Rh 0.758 0.000 0.520

Total magnetization, μB/f.u.: 0.0
VASP energy, eV per cell: -26.310
ρ, g/cm3: 9.9
Energy of formation, eV/atom: -0.39
DOS(E_F), states/eV/atom: 0.8880

---

Record 18
This record from Alexandria describes Zr2HgRh2 after structural relaxation. The functional is PBE.

Cell: 6.098 6.098 6.098 Å, 136.10 136.10 63.83°
Positions (direct):
1 Zr 0.250 0.750 0.500
2 Zr 0.750 0.250 0.500
3 Hg 0.000 0.000 0.000
4 Rh 0.380 0.380 0.000
5 Rh 0.620 0.620 0.000

Total magnetization, μB/f.u.: 0.0
VASP energy, eV per cell: -33.793
ρ, g/cm3: 9.1
Energy of formation, eV/atom: -0.34
DOS(E_F), states/eV/atom: 0.6424

---

Record 19
This record from Alexandria describes Zr2Hg2Rh after structural relaxation. The functional is PBE.

Cell: 7.288 7.288 3.923 Å, 90.00 90.00 90.00°
Positions (direct):
1 Zr 0.170 0.330 0.000
2 Zr 0.330 0.830 0.000
3 Zr 0.670 0.170 0.000
4 Zr 0.830 0.670 0.000
5 Hg 0.136 0.636 0.500
6 Hg 0.364 0.136 0.500
7 Hg 0.636 0.864 0.500
8 Hg 0.864 0.364 0.500
9 Rh 0.000 0.000 0.500
10 Rh 0.500 0.500 0.500

Total magnetization, μB/f.u.: 0.0
VASP energy, eV per cell: -50.658
ρ, g/cm3: 10.9
Energy of formation, eV/atom: -0.06
DOS(E_F), states/eV/atom: 0.8295

---

Record 20
This record from Alexandria describes Zr2HgRh after structural relaxation. The functional is PBE.

Cell: 3.333 3.292 7.278 Å, 90.00 90.23 90.00°
Positions (direct):
1 Zr 0.003 0.000 0.277
2 Zr 0.997 0.000 0.723
3 Hg 0.500 0.500 0.000
4 Rh 0.500 0.500 0.500

Total magnetization, μB/f.u.: 0.0
VASP energy, eV per cell: -26.487
ρ, g/cm3: 10.1
Energy of formation, eV/atom: -0.43
DOS(E_F), states/eV/atom: 0.8916

---

Record 21
This record from Alexandria describes Zr2Hg2Rh after structural relaxation. The functional is PBE.

Cell: 7.576 7.576 7.576 Å, 149.64 149.64 43.47°
Positions (direct):
1 Zr 0.250 0.750 0.500
2 Zr 0.750 0.250 0.500
3 Hg 0.094 0.094 0.000
4 Hg 0.906 0.906 0.000
5 Rh 0.500 0.500 0.000

Total magnetization, μB/f.u.: 0.0
VASP energy, eV per cell: -22.941
ρ, g/cm3: 10.3
Energy of formation, eV/atom: 0.42
DOS(E_F), states/eV/atom: 0.8513

---

Record 22
This record from Alexandria describes Zr2HgRh after structural relaxation. The functional is PBE.

Cell: 5.109 3.113 5.645 Å, 90.00 115.04 90.00°
Positions (direct):
1 Zr 0.000 0.000 0.000
2 Zr 0.000 0.500 0.500
3 Hg 0.500 0.000 0.500
4 Rh 0.500 0.500 0.000

Total magnetization, μB/f.u.: 0.0
VASP energy, eV per cell: -25.126
ρ, g/cm3: 9.9
Energy of formation, eV/atom: -0.09
DOS(E_F), states/eV/atom: 1.0531

---

Record 23
This record from Alexandria describes Zr2HgRh after structural relaxation. The functional is PBE.

Cell: 4.772 4.772 4.772 Å, 60.00 60.00 60.00°
Positions (direct):
1 Zr 0.000 0.000 0.000
2 Zr 0.250 0.250 0.250
3 Hg 0.500 0.500 0.500
4 Rh 0.750 0.750 0.750

Total magnetization, μB/f.u.: 1.0
VASP energy, eV per cell: -25.490
ρ, g/cm3: 10.5
Energy of formation, eV/atom: -0.19
DOS(E_F), states/eV/atom: 0.8750

---

Record 24
This record from Alexandria describes ZrHgRh2 after structural relaxation. The functional is PBE.

Cell: 3.352 3.352 6.265 Å, 90.00 90.00 90.00°
Positions (direct):
1 Zr 0.000 0.000 0.000
2 Hg 0.000 0.000 0.500
3 Rh 0.500 0.500 0.237
4 Rh 0.500 0.500 0.763

Total magnetization, μB/f.u.: 0.0
VASP energy, eV per cell: -25.601
ρ, g/cm3: 11.7
Energy of formation, eV/atom: -0.51
DOS(E_F), states/eV/atom: 0.5233

---

Record 25
This record from Alexandria describes ZrHgRh2 after structural relaxation. The functional is PBE.

Cell: 5.884 5.884 5.884 Å, 104.77 104.77 119.35°
Positions (direct):
1 Zr 0.000 0.000 0.000
2 Zr 0.750 0.250 0.500
3 Hg 0.250 0.750 0.500
4 Hg 0.500 0.500 0.000
5 Rh 0.105 0.625 0.980
6 Rh 0.375 0.355 0.480
7 Rh 0.645 0.125 0.020
8 Rh 0.875 0.895 0.520

Total magnetization, μB/f.u.: 0.0
VASP energy, eV per cell: -47.812
ρ, g/cm3: 10.8
Energy of formation, eV/atom: -0.09
DOS(E_F), states/eV/atom: 0.2257

---

Record 26
This record from Alexandria describes ZrHgRh2 after structural relaxation. The functional is PBE.

Cell: 5.203 5.203 5.203 Å, 135.28 135.28 65.10°
Positions (direct):
1 Zr 0.000 0.000 0.000
2 Hg 0.250 0.750 0.500
3 Rh 0.500 0.500 0.000
4 Rh 0.750 0.250 0.500

Total magnetization, μB/f.u.: 0.0
VASP energy, eV per cell: -25.368
ρ, g/cm3: 12.0
Energy of formation, eV/atom: -0.45
DOS(E_F), states/eV/atom: 0.8524

---

Record 27
This record from Alexandria describes Zr6Hg3Rh after structural relaxation. The functional is PBE.

Cell: 5.922 5.922 7.702 Å, 103.70 103.70 57.86°
Positions (direct):
1 Zr 0.100 0.610 0.181
2 Zr 0.138 0.138 0.423
3 Zr 0.390 0.900 0.819
4 Zr 0.610 0.100 0.181
5 Zr 0.862 0.862 0.577
6 Zr 0.900 0.390 0.819
7 Hg 0.388 0.388 0.815
8 Hg 0.500 0.500 0.500
9 Hg 0.612 0.612 0.185
10 Rh 0.000 0.000 0.000

Total magnetization, μB/f.u.: 0.0
VASP energy, eV per cell: -59.600
ρ, g/cm3: 9.4
Energy of formation, eV/atom: -0.01
DOS(E_F), states/eV/atom: 1.1229

---

Record 28
This record from Alexandria describes Zr2HgRh after structural relaxation. The functional is PBE.

Cell: 5.451 5.451 5.451 Å, 135.53 135.53 64.70°
Positions (direct):
1 Zr 0.000 0.000 0.000
2 Zr 0.750 0.250 0.500
3 Hg 0.250 0.750 0.500
4 Rh 0.500 0.500 0.000

Total magnetization, μB/f.u.: 0.0
VASP energy, eV per cell: -25.918
ρ, g/cm3: 10.3
Energy of formation, eV/atom: -0.29
DOS(E_F), states/eV/atom: 0.8735